No. 1
First-principles (PBE) data for an optimized crystal structure of AlCuSb2I, as listed in Alexandria.

The volume is 30.89 A^3/atom. For the energy above the lowest structure with this stoichiometry, the calculation gives 223 meV per atom. Its space group is P4/mmm (123). The total magnetization is 0.01 μB per atom. As for the energy relative to the elements, uncorrected: 0.776 eV/atom.

```
AlCuSb2I
1.0
5.3028 0.0000 0.0000
0.0000 5.3028 0.0000
0.0000 0.0000 5.4922
Cu Sb Al I
1 2 1 1
Direct
0.5000 0.5000 0.5000
0.5000 0.0000 0.0000
0.0000 0.5000 0.0000
0.0000 0.0000 0.0000
0.0000 0.0000 0.5000
```

No. 2
First-principles (PBE) data for an optimized crystal structure of AlCuSb2I, as listed in Alexandria.

The volume is 36.94 A^3/atom. For the energy above the lowest structure with this stoichiometry, the calculation gives 816 meV per atom. Its space group is P4/mmm (123). The total magnetization is 0.00 μB per atom. As for the energy relative to the elements, uncorrected: 1.368 eV/atom.

```
AlCuSb2I
1.0
-1.9037 -5.4925 -0.2816
4.4138 -1.6699 2.7332
-2.8390 0.7262 5.0283
Sb I Al Cu
2 1 1 1
Direct
0.5000 0.0000 0.0000
0.0000 0.0000 0.5000
0.0000 0.0000 0.0000
0.0000 0.5000 0.0000
0.5000 0.5000 0.5000
```

No. 3
First-principles (PBE) data for an optimized crystal structure of AlCuSbI2, as listed in Alexandria.

The volume is 32.94 A^3/atom. For the energy above the lowest structure with this stoichiometry, the calculation gives 189 meV per atom. Its space group is P4/mmm (123). The total magnetization is 0.11 μB per atom. As for the energy relative to the elements, uncorrected: 0.586 eV/atom.

```
AlCuSbI2
1.0
-1.0165 -4.8444 -2.3590
5.3877 -0.8793 -0.5160
0.0775 -2.4112 4.9183
Al Cu I Sb
1 1 2 1
Direct
0.0000 0.0000 0.0000
0.5000 0.5000 0.5000
0.5000 0.0000 0.0000
0.0000 0.5000 0.0000
0.0000 0.0000 0.5000
```

No. 4
First-principles (PBE) data for an optimized crystal structure of AlCuSe2I, as listed in Alexandria.

The volume is 29.81 A^3/atom. Its space group is P4/mmm (123). The total magnetization is 0.00 μB per atom. As for the energy relative to the elements, uncorrected: 0.350 eV/atom.

```
AlCuSe2I
1.0
-1.2190 1.6014 4.1370
-0.5158 -6.5996 2.4027
4.4233 0.1129 1.2597
I Cu Al Se
1 1 1 2
Direct
0.0000 0.5000 0.0000
0.0000 0.0000 0.0000
0.5000 0.5000 0.5000
0.0000 0.0000 0.5000
0.5000 0.0000 0.0000
```

No. 5
First-principles (PBE) data for an optimized crystal structure of AlCuTe2I, as listed in Alexandria.

The volume is 29.67 A^3/atom. For the energy above the lowest structure with this stoichiometry, the calculation gives 0 meV per atom. Its space group is P4/mmm (123). The total magnetization is 0.00 μB per atom. As for the energy relative to the elements, uncorrected: 0.368 eV/atom.

```
AlCuTe2I
1.0
5.1754 0.0000 0.0000
0.0000 5.1754 0.0000
0.0000 0.0000 5.5379
Te Al I Cu
2 1 1 1
Direct
0.5000 0.0000 0.0000
0.0000 0.5000 0.0000
0.5000 0.5000 0.5000
0.0000 0.0000 0.5000
0.0000 0.0000 0.0000
```

No. 6
First-principles (PBE) data for an optimized crystal structure of AlCuTe2I, as listed in Alexandria.

The volume is 31.72 A^3/atom. For the energy above the lowest structure with this stoichiometry, the calculation gives 168 meV per atom. Its space group is P4/mmm (123). The total magnetization is 0.00 μB per atom. As for the energy relative to the elements, uncorrected: 0.536 eV/atom.

```
AlCuTe2I
1.0
5.3569 0.0000 0.0000
0.0000 5.3569 0.0000
0.0000 0.0000 5.5261
Te Al Cu I
2 1 1 1
Direct
0.5000 0.0000 0.0000
0.0000 0.5000 0.0000
0.0000 0.0000 0.0000
0.5000 0.5000 0.5000
0.0000 0.0000 0.5000
```

No. 7
First-principles (PBE) data for an optimized crystal structure of YAlCu2I, as listed in Alexandria.

The volume is 26.96 A^3/atom. Its space group is P4/mmm (123). The total magnetization is 0.00 μB per atom. As for the energy relative to the elements, uncorrected: 0.794 eV/atom.

```
YAlCu2I
1.0
-1.9040 -4.1926 -1.6279
4.6737 -0.9439 -3.0355
1.9797 -2.3685 3.7846
Cu Y I Al
2 1 1 1
Direct
0.0000 0.0000 0.5000
0.5000 0.0000 0.0000
0.5000 0.5000 0.5000
0.0000 0.0000 0.0000
0.0000 0.5000 0.0000
```

No. 8
First-principles (PBE) data for an optimized crystal structure of ZrAlCuI2, as listed in Alexandria.

The volume is 27.60 A^3/atom. Its space group is P4/mmm (123). The total magnetization is 0.55 μB per atom. As for the energy relative to the elements, uncorrected: 0.627 eV/atom.

```
ZrAlCuI2
1.0
5.4893 0.0000 0.0000
0.0000 4.5793 0.0000
0.0000 0.0000 5.4893
Al I Zr Cu
1 2 1 1
Direct
0.0000 0.5000 0.0000
0.5000 0.0000 0.0000
0.0000 0.0000 0.5000
0.5000 0.5000 0.5000
0.0000 0.0000 0.0000
```